An optimized crystal structure of K2VSO6, computed with PBE+U.

Output
DFT total energy ... -5.634 eV per atom

a = 5.188 Å, b = 5.188 Å, c = 9.990 Å
α = 90.00°, β = 90.00°, γ = 90.00°
Space group I4/m (No. 87)
Asymmetric unit:
K  0.000  0.500  0.250 (multiplicity 4)
V  0.000  0.000  0.000 (multiplicity 2)
S  0.000  0.000  0.500 (multiplicity 2)
O  0.000  0.000  0.177 (multiplicity 4)
O  0.152  0.734  0.500 (multiplicity 8)